# 1
An optimized crystal structure of ScBiW3, computed with GGA-PBE.

Unit cell a=5.008 b=5.008 c=5.008 alpha=90.00 beta=90.00 gamma=90.00
Fractional coordinates of all 5 atoms:
W 0.500 0.000 0.000
Sc 0.500 0.500 0.500
Bi 0.000 0.000 0.000
W 0.000 0.500 0.000
W 0.000 0.000 0.500

E above lowest polymorph: 5.92 kcal/mol of atoms
Symmetry: Pm-3m

=====

# 2
An optimized crystal structure of ScBi2W, computed with GGA-PBE.

Unit cell a=4.993 b=4.993 c=4.993 alpha=60.00 beta=60.00 gamma=60.00
Fractional coordinates of all 4 atoms:
W 0.500 0.500 0.500
Sc 0.000 0.000 0.000
Bi 0.750 0.750 0.750
Bi 0.250 0.250 0.250

E above lowest polymorph: 0.00 kcal/mol of atoms
Symmetry: Fm-3m

=====

# 3
An optimized crystal structure of Sc2BiW, computed with GGA-PBE.

Unit cell a=4.342 b=4.342 c=10.392 alpha=77.94 beta=77.94 gamma=90.00
Last column: magnetic moment on the atom in μB.
Fractional coordinates of all 8 atoms:
W 0.250 0.750 0.500  0.47
Sc 0.613 0.125 0.250  -0.05
Sc 0.137 0.625 0.250  -0.05
Sc 0.375 0.387 0.750  -0.05
Sc 0.875 0.863 0.750  -0.05
Bi 0.000 0.000 0.000  -0.01
W 0.500 0.500 0.000  0.47
Bi 0.750 0.250 0.500  -0.01

Symmetry: I-42d

=====

# 4
An optimized crystal structure of YSc2Bi, computed with GGA-PBE.

Unit cell a=11.580 b=11.580 c=11.580 alpha=17.09 beta=17.09 gamma=17.09
Fractional coordinates of all 4 atoms:
Y 0.500 0.500 0.500
Sc 0.088 0.088 0.088
Sc 0.912 0.912 0.912
Bi 0.000 0.000 0.000

Symmetry: R-3m

=====

# 5
An optimized crystal structure of Y4ScBi, computed with GGA-PBE.

Unit cell a=5.175 b=5.176 c=7.710 alpha=89.94 beta=89.97 gamma=90.00
Fractional coordinates of all 6 atoms:
Y 0.501 0.997 0.260
Bi 0.501 0.497 0.998
Y 0.501 0.998 0.736
Y 0.002 0.497 0.736
Y 0.001 0.497 0.260
Sc 0.001 0.997 0.498

Symmetry: C2/m

=====

# 6
An optimized crystal structure of YSc3Bi, computed with GGA-PBE.

Unit cell a=5.487 b=5.487 c=5.487 alpha=90.00 beta=90.00 gamma=90.00
Last column: magnetic moment on the atom in μB.
Fractional coordinates of all 5 atoms:
Y 0.500 0.500 0.500  0.30
Sc 0.000 0.500 0.000  0.37
Sc 0.000 0.000 0.500  0.53
Bi 0.000 0.000 0.000  0.04
Sc 0.500 0.000 0.000  0.32

E above lowest polymorph: 0.00 kcal/mol of atoms
Symmetry: Pm-3m

=====

| no. | total DFT energy (no corrections) (eV/f.u.) | E_form (meV per atom) |
| --- | --- | --- |
| 1 | -36.073 | 2600 |
| 2 | -25.837 | 302 |
| 3 | -26.578 | 730 |
| 4 | -22.628 | 95 |
| 5 | -35.235 | 139 |
| 6 | -27.709 | 326 |